# CaY4Er5, optimized geometry, DFT PBE
# **ΔE_f**: 48 meV per atom
data_CaY4Er5
_chemical_formula_sum 'Ca1 Y4 Er5'
_space_group_name_H-M_alt 'P 4/m m m'
_space_group_IT_number 123
_space_group_name_Hall '-P 4 2'
_cell_length_a 3.5618
_cell_length_b 3.5618
_cell_length_c 25.3869
_cell_angle_alpha 90.00
_cell_angle_beta 90.00
_cell_angle_gamma 90.00
loop_
_atom_site_label
_atom_site_fract_x
_atom_site_fract_y
_atom_site_fract_z
Ca1 0.0000 0.0000 0.0000
Y1 0.0000 0.0000 0.2045
Y2 0.0000 0.0000 0.4016
Er1 0.5000 0.5000 0.1101
Er2 0.5000 0.5000 0.3039
Er3 0.5000 0.5000 0.5000